The following is a DFT calculation (PBE-GGA) of TlAg2Pb after structural relaxation.

The value obtained for the total energy is -2.800 eV/atom. The density of states at the Fermi level comes out at 2.63 states/eV/cell. As for the energy of formation from the pure elements: 14 kJ/mol of atoms. The energy above the most stable polymorph in this dataset comes out at 0.061 eV per atom.

a = 9.435 Å, b = 3.431 Å, c = 6.092 Å
α = 90.00°, β = 101.35°, γ = 90.00°
Space group C2/m (No. 12)
One atom of each set of equivalent atoms:
Tl1 0.000 0.000 0.000 (multiplicity 2)
Ag1 0.249 0.500 0.232 (multiplicity 4)
Pb1 0.000 0.500 0.500 (multiplicity 2)

The following is a DFT calculation (PBE-GGA) of Sr5In2N after structural relaxation.

The value obtained for the total energy is -3.164 eV/atom. The formation energy without anion corrections is -0.39 eV/atom. The density of states at the Fermi level comes out at 32.46 states/eV/cell.

a = 9.582 Å, b = 7.515 Å, c = 15.272 Å
α = 90.00°, β = 90.00°, γ = 90.00°
Space group Pnma (No. 62)
One atom of each set of equivalent atoms:
Sr1 0.000 0.000 0.000 (multiplicity 4)
Sr2 0.034 0.250 0.200 (multiplicity 4)
Sr3 0.160 0.502 0.610 (multiplicity 8)
Sr4 0.216 0.750 0.398 (multiplicity 4)
In1 0.027 0.750 0.209 (multiplicity 4)
In2 0.185 0.250 0.410 (multiplicity 4)
N1 0.179 0.250 0.062 (multiplicity 4)

The following is a DFT calculation (PBE-GGA) of TlSbMoOs2 after structural relaxation.

The value obtained for the total energy is -5.842 eV/atom. The formation energy without anion corrections is 2.11 eV/atom. The density of states at the Fermi level comes out at 5.81 states/eV/cell.

a = 4.855 Å, b = 4.855 Å, c = 4.995 Å
α = 90.00°, β = 90.00°, γ = 90.00°
Space group P4/mmm (No. 123)
One atom of each set of equivalent atoms:
Tl1 0.000 0.000 0.000 (multiplicity 1)
Sb1 0.500 0.500 0.500 (multiplicity 1)
Mo1 0.500 0.500 0.000 (multiplicity 1)
Os1 0.000 0.500 0.500 (multiplicity 2)